Entry 1:
The following is a DFT calculation (GGA-PBE) of a geometry-optimized MgTcRu structure.

Values from the calculation:
Its formation energy is -13 meV/atom. The calculation puts the distance to the lowest polymorph of the same formula at 0.000 eV/f.u. As for the crystal system: orthorhombic. The value obtained for the calculated density is 8.17 Mg/m³. The magnetic moment is 0.0 μB per formula unit.

Unit cell a=5.5720 b=5.5720 c=4.1970 alpha=90.00 beta=90.00 gamma=135.84
With the nearest neighbours (Å) after each atom.
Fractional positions:
1 Mg 0.2504 0.7496 0.7500  4 Ru 2.75, 4 Tc 2.80-2.81, 4 Mg 2.96
2 Mg 0.7496 0.2504 0.2500  4 Ru 2.75, 4 Tc 2.80-2.81, 4 Mg 2.96
3 Tc 0.0691 0.9309 0.2500  2 Tc 2.54, 2 Ru 2.59, 4 Mg 2.80-2.81
4 Tc 0.9309 0.0691 0.7500  2 Tc 2.54, 2 Ru 2.59, 4 Mg 2.80-2.81
5 Ru 0.4221 0.5779 0.2500  2 Tc 2.59, 2 Ru 2.64, 4 Mg 2.75
6 Ru 0.5779 0.4221 0.7500  2 Tc 2.59, 2 Ru 2.64, 4 Mg 2.75

=====

Entry 2:
The following is a DFT calculation (GGA-PBE) of a geometry-optimized MgTc2Ru structure.

Values from the calculation:
Its formation energy is 649 meV/atom. As for the crystal system: tetragonal. The value obtained for the calculated density is 7.76 Mg/m³. The magnetic moment is 0.0 μB per formula unit.

Unit cell a=5.7846 b=5.7846 c=5.7846 alpha=101.24 beta=101.24 gamma=127.59
With the nearest neighbours (Å) after each atom.
Fractional positions:
1 Mg 0.0000 0.0000 0.0000  2 Ru 2.55
2 Mg 0.7500 0.2500 0.5000  2 Ru 2.55
3 Tc 0.1759 0.6250 0.0509  2 Ru 2.43, 2 Tc 2.66
4 Tc 0.3750 0.4259 0.5509  2 Ru 2.43, 2 Tc 2.66
5 Tc 0.5741 0.1250 0.9491  2 Ru 2.43, 2 Tc 2.66
6 Tc 0.8750 0.8241 0.4491  2 Ru 2.43, 2 Tc 2.66
7 Ru 0.2500 0.7500 0.5000  4 Tc 2.43, 2 Mg 2.55
8 Ru 0.5000 0.5000 0.0000  4 Tc 2.43, 2 Mg 2.55

=====

Entry 3:
The following is a DFT calculation (GGA-PBE) of a geometry-optimized MgTc2Ru structure.

Values from the calculation:
Its formation energy is 195 meV/atom. As for the crystal system: orthorhombic. The value obtained for the calculated density is 9.03 Mg/m³. The magnetic moment is 0.0 μB per formula unit.

Unit cell a=3.0756 b=4.2503 c=4.5195 alpha=90.00 beta=90.00 gamma=90.00
With the nearest neighbours (Å) after each atom.
Fractional positions:
1 Mg 0.0000 0.0000 0.0000  4 Ru 2.62, 4 Tc 2.73
2 Tc 0.0000 0.5000 0.5000  4 Tc 2.62, 4 Ru 2.73
3 Tc 0.5000 0.0000 0.5000  4 Tc 2.62, 4 Mg 2.73
4 Ru 0.5000 0.5000 0.0000  4 Mg 2.62, 4 Tc 2.73

=====

Entry 4:
The following is a DFT calculation (GGA-PBE) of a geometry-optimized MgTc2Ru structure.

Values from the calculation:
Its formation energy is 306 meV/atom. As for the crystal system: tetragonal. The value obtained for the calculated density is 8.95 Mg/m³. The magnetic moment is 0.0 μB per formula unit.

Unit cell a=3.7195 b=3.7195 c=4.3083 alpha=90.00 beta=90.00 gamma=90.00
With the nearest neighbours (Å) after each atom.
Fractional positions:
1 Mg 0.0000 0.0000 0.0000  4 Ru 2.63, 8 Tc 2.85
2 Tc 0.0000 0.5000 0.5000  4 Tc 2.63, 4 Ru 2.85, 4 Mg 2.85
3 Tc 0.5000 0.0000 0.5000  4 Tc 2.63, 4 Ru 2.85, 4 Mg 2.85
4 Ru 0.5000 0.5000 0.0000  4 Mg 2.63, 8 Tc 2.85

=====

Entry 5:
The following is a DFT calculation (GGA-PBE) of a geometry-optimized Mg2TcRu structure.

Values from the calculation:
Its formation energy is 220 meV/atom. The calculation puts the distance to the lowest polymorph of the same formula at 0.996 eV/f.u. As for the crystal system: orthorhombic. The value obtained for the calculated density is 6.55 Mg/m³. The magnetic moment is 0.0 μB per formula unit.

Unit cell a=3.1632 b=4.4291 c=4.4848 alpha=90.00 beta=90.00 gamma=90.00
With the nearest neighbours (Å) after each atom.
Fractional positions:
1 Mg 0.0000 0.0000 0.0000  4 Mg 2.72, 4 Ru 2.74
2 Mg 0.5000 0.5000 0.0000  4 Mg 2.72, 4 Tc 2.74
3 Tc 0.0000 0.5000 0.5000  4 Ru 2.72, 4 Mg 2.74
4 Ru 0.5000 0.0000 0.5000  4 Tc 2.72, 4 Mg 2.74

=====

Entry 6:
The following is a DFT calculation (GGA-PBE) of a geometry-optimized MgVTcRu structure.

Values from the calculation:
Its formation energy is -5 meV/atom. As for the crystal system: cubic. The value obtained for the calculated density is 7.92 Mg/m³. The magnetic moment is 0.0 μB per formula unit.

Unit cell a=4.3329 b=4.3329 c=4.3329 alpha=60.00 beta=60.00 gamma=60.00
With the nearest neighbours (Å) after each atom.
Fractional positions:
1 Mg 0.0000 0.0000 0.0000  4 Tc 2.65, 4 Ru 2.65
2 V 0.5000 0.5000 0.5000  4 Tc 2.65, 4 Ru 2.65
3 Tc 0.7500 0.7500 0.7500  4 Mg 2.65, 4 V 2.65
4 Ru 0.2500 0.2500 0.2500  4 Mg 2.65, 4 V 2.65

=====

Entry 7:
The following is a DFT calculation (GGA-PBE) of a geometry-optimized MgTcRuW structure.

Values from the calculation:
Its formation energy is -27 meV/atom. As for the crystal system: cubic. The value obtained for the calculated density is 11.22 Mg/m³. The magnetic moment is 0.0 μB per formula unit.

Unit cell a=4.4007 b=4.4007 c=4.4007 alpha=60.00 beta=60.00 gamma=60.00
With the nearest neighbours (Å) after each atom.
Fractional positions:
1 Mg 0.0000 0.0000 0.0000  4 Ru 2.69, 4 Tc 2.69
2 Tc 0.2500 0.2500 0.2500  4 W 2.69, 4 Mg 2.69
3 Ru 0.7500 0.7500 0.7500  4 W 2.69, 4 Mg 2.69
4 W 0.5000 0.5000 0.5000  4 Tc 2.69, 4 Ru 2.69

=====

Entry 8:
The following is a DFT calculation (GGA-PBE) of a geometry-optimized YMg2TcRu structure.

Values from the calculation:
Its formation energy is 482 meV/atom. As for the crystal system: tetragonal. The value obtained for the calculated density is 4.95 Mg/m³. The magnetic moment is 0.0 μB per formula unit.

Unit cell a=4.9268 b=4.9268 c=4.6511 alpha=90.00 beta=90.00 gamma=90.00
With the nearest neighbours (Å) after each atom.
Fractional positions:
1 Y 0.0000 0.0000 0.0000  8 Mg 3.39, 4 Ru 3.48
2 Mg 0.0000 0.5000 0.5000  2 Tc 2.46
3 Mg 0.5000 0.0000 0.5000  2 Tc 2.46
4 Tc 0.5000 0.5000 0.5000  2 Ru 2.33, 4 Mg 2.46
5 Ru 0.5000 0.5000 0.0000  2 Tc 2.33

=====

Q: Look up the magnetic moment of the second one.
A: 0.0 μB per formula unit